Record 1
Crystalline La2Er5Tm at its relaxed geometry, computed with GGA-PBE.

Calculated values
Energy relative to the elements, meV/atom: 37
Excess energy over the best structure of this formula in the dataset, kJ/mol of formula units: 0.0

Cell lengths 5.069, 5.069, 10.617 Å; angles 103.81, 103.81, 90.00 degrees
Sites, in units of the cell vectors:
Er: 0.121 0.621 0.242
Er: 0.621 0.121 0.242
Er: 0.379 0.879 0.758
Er: 0.500 0.500 0.000
Er: 0.879 0.379 0.758
Tm: 0.000 0.000 0.000
La: 0.250 0.250 0.500
La: 0.750 0.750 0.500

Record 2
Crystalline La12ErTm6 at its relaxed geometry, computed with GGA-PBE.

Calculated values
Energy relative to the elements, meV/atom: 231

Cell lengths 9.297, 9.297, 9.297 Å; angles 106.77, 106.77, 106.77 degrees
Sites, in units of the cell vectors:
La: 0.711 0.887 0.183
La: 0.587 0.492 0.193
La: 0.887 0.183 0.711
La: 0.508 0.807 0.413
La: 0.193 0.587 0.492
La: 0.492 0.193 0.587
La: 0.183 0.711 0.887
La: 0.113 0.817 0.289
La: 0.413 0.508 0.807
La: 0.817 0.289 0.113
La: 0.807 0.413 0.508
La: 0.289 0.113 0.817
Tm: 0.193 0.436 0.091
Tm: 0.436 0.091 0.193
Tm: 0.807 0.564 0.909
Tm: 0.909 0.807 0.564
Tm: 0.091 0.193 0.436
Tm: 0.564 0.909 0.807
Er: 0.000 0.000 0.000

Record 3
Crystalline La8ErTm4 at its relaxed geometry, computed with GGA-PBE.

Calculated values
Energy relative to the elements, meV/atom: 172

Cell lengths 7.178, 7.178, 10.907 Å; angles 90.00, 109.21, 120.00 degrees
Sites, in units of the cell vectors:
La: 0.505 0.752 0.716
La: 0.419 0.210 0.629
La: 0.964 0.752 0.716
La: 0.964 0.212 0.716
La: 0.581 0.790 0.371
La: 0.036 0.248 0.284
La: 0.495 0.248 0.284
La: 0.036 0.788 0.284
Tm: 0.500 0.500 0.000
Tm: 0.000 0.000 0.000
Tm: 0.000 0.500 0.000
Tm: 0.500 0.000 0.000
Er: 0.000 0.500 0.500